VASP calculation (GGA-PBE) on crystalline ZrNbTe4 at its relaxed geometry.

Crystal system   orthorhombic
DFT total energy   -135.90 eV per cell

abc: 3.715 15.653 11.968
angles: 90.00 90.00 90.00
Space group Cmc2_1 (No. 36)
Asymmetric unit:
Zr: 0.000 0.136 0.000
Nb: 0.000 0.266 0.263
Te: 0.000 0.102 0.752
Te: 0.000 0.215 0.474
Te: 0.000 0.364 0.705
Te: 0.000 0.496 0.971